The following is a PBE calculation of RbMoS2 after structural relaxation, from Alexandria via LeMat-Bulk.

a b c (Å): 4.898 4.898 4.898
angles (deg): 60.00 60.00 60.00
Sites, in units of the cell vectors:
S: 0.250 0.250 0.250
S: 0.750 0.750 0.750
Rb: 0.000 0.000 0.000
Mo: 0.500 0.500 0.500

symmetry: No. 225
E_form (uncorrected): 300 meV per atom
D(E_F): 1.55 states/eV per cell
total moment: 3.0 μB per cell